The following is a PBE calculation of BrO after structural relaxation, from the Alexandria database.

Calculated values
calculated total energy	-95.00	eV/cell
formation energy (no corrections)	0.3467	eV/atom
magnetization	0.000	Bohr magnetons per cell
space-group type	No. 70
calculated volume	63.5	Å³/f.u.

a = 11.8653 Å, b = 12.6406 Å, c = 6.7777 Å
α = 90.00°, β = 90.00°, γ = 90.00°
Last column: nearest neighbours and their distance in Å.
Atoms (fractional coordinates):
Br (0.2184, 0.0000, 0.0000)  2 O 1.93
Br (0.7816, 0.0000, 0.0000)  2 O 1.93
Br (0.0316, 0.7500, 0.2500)  2 O 1.93
Br (0.4684, 0.7500, 0.2500)  2 O 1.93
Br (0.2184, 0.5000, 0.5000)  2 O 1.93
Br (0.7816, 0.5000, 0.5000)  2 O 1.93
Br (0.0316, 0.2500, 0.7500)  2 O 1.93
Br (0.4684, 0.2500, 0.7500)  2 O 1.93
Br (0.7184, 0.0000, 0.5000)  2 O 1.93
Br (0.2816, 0.0000, 0.5000)  2 O 1.93
Br (0.5316, 0.7500, 0.7500)  2 O 1.93
Br (0.9684, 0.7500, 0.7500)  2 O 1.93
Br (0.7184, 0.5000, 0.0000)  2 O 1.93
Br (0.2816, 0.5000, 0.0000)  2 O 1.93
Br (0.5316, 0.2500, 0.2500)  2 O 1.93
Br (0.9684, 0.2500, 0.2500)  2 O 1.93
O (0.0000, 0.8159, 0.0000)  2 Br 1.93
O (0.0000, 0.1841, 0.0000)  2 Br 1.93
O (0.2500, 0.9341, 0.2500)  2 Br 1.93
O (0.2500, 0.5659, 0.2500)  2 Br 1.93
O (0.0000, 0.3159, 0.5000)  2 Br 1.93
O (0.0000, 0.6841, 0.5000)  2 Br 1.93
O (0.2500, 0.4341, 0.7500)  2 Br 1.93
O (0.2500, 0.0659, 0.7500)  2 Br 1.93
O (0.5000, 0.8159, 0.5000)  2 Br 1.93
O (0.5000, 0.1841, 0.5000)  2 Br 1.93
O (0.7500, 0.9341, 0.7500)  2 Br 1.93
O (0.7500, 0.5659, 0.7500)  2 Br 1.93
O (0.5000, 0.3159, 0.0000)  2 Br 1.93
O (0.5000, 0.6841, 0.0000)  2 Br 1.93
O (0.7500, 0.4341, 0.2500)  2 Br 1.93
O (0.7500, 0.0659, 0.2500)  2 Br 1.93



The following is a PBE calculation of Zr8Fe2Tc after structural relaxation, from the Alexandria database.

Calculated values
calculated total energy	-95.80	eV/cell
magnetization	0.000	Bohr magnetons per cell
space-group type	No. 12
calculated volume	224.4	Å³/f.u.
calculated formation energy	-11	meV/atom

a = 5.2584 Å, b = 7.1154 Å, c = 7.1154 Å
α = 117.07°, β = 99.69°, γ = 99.69°
Last column: nearest neighbours and their distance in Å.
Atoms (fractional coordinates):
Fe (0.5000, 0.7081, 0.2981)  6 Zr 2.52-2.77
Fe (0.5000, 0.2981, 0.7081)  6 Zr 2.52-2.77
Zr (0.5796, 0.3369, 0.0902)  2 Fe 2.52-2.56
Zr (0.5796, 0.0902, 0.3369)  2 Fe 2.52-2.56
Zr (0.1703, 0.3742, 0.3742)  1 Tc 2.61
Zr (0.0000, 0.2271, 0.7791)  1 Tc 2.72, 2 Fe 2.77
Zr (0.0000, 0.7791, 0.2271)  1 Tc 2.72, 2 Fe 2.77
Zr (0.8296, 0.6320, 0.6320)  1 Tc 2.61
Zr (0.4203, 0.9160, 0.6693)  2 Fe 2.52-2.56
Zr (0.4203, 0.6693, 0.9160)  2 Fe 2.52-2.56
Tc (0.0000, 0.0031, 0.0031)  4 Zr 2.61-2.72



The following is a PBE calculation of Be2Ni8P after structural relaxation, from the Alexandria database.

Calculated values
calculated total energy	-61.40	eV/cell
magnetization	0.000	Bohr magnetons per cell
space-group type	No. 71
calculated volume	113.7	Å³/f.u.
calculated formation energy	-208	meV/atom

a = 3.6745 Å, b = 6.1737 Å, c = 6.1665 Å
α = 120.04°, β = 107.33°, γ = 90.00°
Last column: nearest neighbours and their distance in Å.
Atoms (fractional coordinates):
Be (0.1978, 0.6978, 0.3956)  10 Ni 2.27-2.46
Be (0.8022, 0.3022, 0.6044)  10 Ni 2.27-2.46
Ni (0.6570, 0.8753, 0.3139)  3 Be 2.27-2.31, 1 P 2.35, 5 Ni 2.43-2.54
Ni (0.3430, 0.5613, 0.6861)  3 Be 2.27-2.32, 1 P 2.35, 5 Ni 2.43-2.54
Ni (0.1395, 0.1395, 0.2789)  2 P 2.31, 8 Ni 2.41-2.54, 2 Be 2.46
Ni (0.0000, 0.3185, 0.0000)  7 Ni 2.24-2.43, 2 Be 2.28
Ni (0.8605, 0.8605, 0.7211)  2 P 2.31, 8 Ni 2.41-2.54, 2 Be 2.46
Ni (0.6570, 0.4387, 0.3139)  3 Be 2.27-2.32, 1 P 2.35, 5 Ni 2.43-2.54
Ni (0.3430, 0.1247, 0.6861)  3 Be 2.27-2.31, 1 P 2.35, 5 Ni 2.43-2.54
Ni (0.0000, 0.6815, 0.0000)  7 Ni 2.24-2.43, 2 Be 2.28
P (0.5000, 0.0000, 0.0000)  8 Ni 2.31-2.35



The following is a PBE calculation of Tc4Ru2Rh3 after structural relaxation, from the Alexandria database.

Calculated values
calculated total energy	-162.20	eV/cell
magnetization	0.000	Bohr magnetons per cell
space-group type	No. 15
calculated volume	131.3	Å³/f.u.
calculated formation energy	108	meV/atom

a = 4.6818 Å, b = 7.7268 Å, c = 7.7271 Å
α = 71.99°, β = 82.80°, γ = 82.81°
Last column: nearest neighbours and their distance in Å.
Atoms (fractional coordinates):
Tc (0.5528, 0.0446, 0.8286)  3 Tc 2.52-2.79, 1 Ru 2.57, 4 Rh 2.62-2.71
Tc (0.9472, 0.1714, 0.9554)  3 Tc 2.52-2.79, 1 Ru 2.57, 4 Rh 2.62-2.71
Tc (0.4472, 0.9554, 0.1714)  3 Tc 2.52-2.79, 1 Ru 2.57, 4 Rh 2.62-2.71
Tc (0.0528, 0.8286, 0.0446)  3 Tc 2.52-2.79, 1 Ru 2.57, 4 Rh 2.62-2.71
Tc (0.2106, 0.7141, 0.4909)  2 Ru 2.51-2.69, 2 Tc 2.53-2.79, 4 Rh 2.58-2.74
Tc (0.2894, 0.5091, 0.2859)  2 Ru 2.51-2.69, 2 Tc 2.53-2.79, 4 Rh 2.58-2.74
Tc (0.7894, 0.2859, 0.5091)  2 Ru 2.51-2.69, 2 Tc 2.53-2.79, 4 Rh 2.58-2.74
Tc (0.7106, 0.4909, 0.7141)  2 Ru 2.51-2.69, 2 Tc 2.53-2.79, 4 Rh 2.58-2.74
Ru (0.6259, 0.8327, 0.6247)  3 Tc 2.51-2.69, 4 Rh 2.61-2.76
Ru (0.8741, 0.3753, 0.1673)  3 Tc 2.51-2.69, 4 Rh 2.61-2.76
Ru (0.3741, 0.1673, 0.3753)  3 Tc 2.51-2.69, 4 Rh 2.61-2.76
Ru (0.1259, 0.6247, 0.8327)  3 Tc 2.51-2.69, 4 Rh 2.61-2.76
Rh (0.0886, 0.9918, 0.6790)  5 Tc 2.58-2.86, 4 Ru 2.61-2.76, 1 Rh 2.86
Rh (0.4114, 0.3210, 0.0082)  5 Tc 2.58-2.86, 4 Ru 2.61-2.76, 1 Rh 2.86
Rh (0.9114, 0.0082, 0.3210)  5 Tc 2.58-2.86, 4 Ru 2.61-2.76, 1 Rh 2.86
Rh (0.5886, 0.6790, 0.9918)  5 Tc 2.58-2.86, 4 Ru 2.61-2.76, 1 Rh 2.86
Rh (0.2500, 0.3437, 0.6563)  8 Tc 2.62-2.74, 2 Rh 2.86, 2 Ru 2.87
Rh (0.7500, 0.6563, 0.3437)  8 Tc 2.62-2.74, 2 Rh 2.86, 2 Ru 2.87



- Number 3 is which compound?
  Be2Ni8P



- The highest calculated volume belongs to which entry?
  Zr8Fe2Tc